# 1
Material: Ba2In3Sn4Au
Method: DFT, PBE
State: optimized geometry

a = 5.1944 Å, b = 5.1944 Å, c = 11.4687 Å
α = 90.00°, β = 90.00°, γ = 90.00°
Last column: nearest neighbours and their distance in Å.
Space group P-4m2 (No. 115)
Unique sites:
Ba  0.0000  0.5000  0.2339 [2 per cell]  6 In 3.73-3.98, 2 Au 3.73, 9 Sn 3.90-4.04
In  0.0000  0.0000  0.0000 [1 per cell]  4 Sn 2.93
In  0.0000  0.5000  0.6323 [2 per cell]  5 Sn 2.86-3.01
Sn  0.0000  0.0000  0.5000 [1 per cell]  4 In 3.01
Sn  0.0000  0.5000  0.8817 [2 per cell]  3 In 2.86-2.93, 2 Au 2.93
Sn  0.5000  0.5000  0.5000 [1 per cell]  4 In 3.01
Au  0.5000  0.5000  0.0000 [1 per cell]  4 Sn 2.93

Computed properties:
* DFT formation energy: -0.3894 eV per atom


# 2
Material: Sm2GaHg4
Method: DFT, PBE
State: optimized geometry

a = 5.2400 Å, b = 5.2400 Å, c = 22.0847 Å
α = 90.00°, β = 90.00°, γ = 120.00°
Last column: nearest neighbours and their distance in Å.
Space group R-3m (No. 166, hexagonal axes)
Unique sites:
Sm  0.0000  0.0000  0.2209 [6 per cell]  8 Hg 3.15-3.49, 3 Ga 3.25
Ga  0.0000  0.0000  0.5000 [3 per cell]  2 Hg 2.95, 6 Sm 3.25
Hg  0.0000  0.0000  0.0725 [6 per cell]  4 Hg 3.15-3.20, 4 Sm 3.15-3.28
Hg  0.0000  0.0000  0.3666 [6 per cell]  1 Ga 2.95, 3 Hg 3.15, 1 Sm 3.22

Computed properties:
* DFT formation energy: -0.3408 eV per atom


# 3
Material: CaScN2O
Method: DFT, PBE
State: optimized geometry

a = 4.1181 Å, b = 4.1181 Å, c = 4.1923 Å
α = 90.00°, β = 90.00°, γ = 90.00°
Last column: nearest neighbours and their distance in Å.
Space group P4/mmm (No. 123)
Unique sites:
Ca  0.0000  0.0000  0.0000 [1 per cell]  4 N 2.06, 2 O 2.10
Sc  0.5000  0.5000  0.5000 [1 per cell]  4 O 2.91, 8 N 2.94
N  0.0000  0.5000  0.0000 [2 per cell]  2 Ca 2.06
O  0.0000  0.0000  0.5000 [1 per cell]  2 Ca 2.10

Computed properties:
* formation energy from raw total energies: 0.37 eV/atom


| no. | calculated volume (Å³ per cell) |
| --- | --- |
| 1 | 309.45 |
| 2 | 525.16 |
| 3 | 71.10 |